First-principles (PBE) data for Sc5TlBi after structural relaxation, as listed in Alexandria via LeMat-Bulk.

Structure (POSCAR):
```
Sc5TlBi
1.0
4.101 -4.118 0.000
4.101 4.118 0.000
-2.484 0.000 10.309
Sc Tl Bi
10 2 2
Cartesian
-0.394 1.680 8.650
2.237 3.054 7.732
1.936 1.164 4.861
0.848 -1.680 3.496
5.022 1.164 0.294
0.694 -1.164 10.015
4.869 1.680 6.814
3.780 -1.164 5.449
3.479 -3.054 2.577
6.111 -1.680 1.659
0.000 0.000 0.000
-1.242 0.000 5.155
2.237 0.088 7.732
3.479 -0.088 2.577
```

Values from the calculation:
The total magnetization comes out at 0.0 μB/f.u. The crystal system is monoclinic. For the calculated formation energy, the calculation gives -0.154 eV per atom. The calculation puts the calculated volume at 348.2 Å³ per cell. Its space-group type is C2/c (15). The value obtained for the uncorrected energy is -78.0 eV per cell.